(1)
This record from OQMD describes a geometry-optimized NbCoNiAs structure. The functional is PBE. Values from VASP.

The structure in Quantum ESPRESSO input format:
```
&SYSTEM
  ibrav = 0, nat = 4, ntyp = 4
/
ATOMIC_SPECIES
Nb 92.91 Nb.upf
Co 58.93 Co.upf
Ni 58.69 Ni.upf
As 74.92 As.upf
ATOMIC_POSITIONS crystal
Nb 0.000 0.000 0.000
Co 0.750 0.750 0.750
Ni 0.250 0.250 0.250
As 0.500 0.500 0.500
CELL_PARAMETERS angstrom
0.000 2.993 2.993
2.993 0.000 2.993
2.993 2.993 0.000
```

Calculated values
- E_tot (eV/cell) = -27.58
- SG = F-43m, No. 216
- magnetic moment (μB per formula unit) = 0.025

---

(2)
This record from OQMD describes a geometry-optimized NbCoAsOs structure. The functional is PBE. Values from VASP.

The structure in Quantum ESPRESSO input format:
```
&SYSTEM
  ibrav = 0, nat = 4, ntyp = 4
/
ATOMIC_SPECIES
Nb 92.91 Nb.upf
Co 58.93 Co.upf
As 74.92 As.upf
Os 190.23 Os.upf
ATOMIC_POSITIONS crystal
Nb 0.000 0.000 0.000
Co 0.750 0.750 0.750
As 0.500 0.500 0.500
Os 0.250 0.250 0.250
CELL_PARAMETERS angstrom
0.000 3.103 3.103
3.103 0.000 3.103
3.103 3.103 0.000
```

Calculated values
- E_tot (eV/cell) = -32.55
- SG = F-43m, No. 216
- magnetic moment (μB per formula unit) = 1.363

---

(3)
This record from OQMD describes a geometry-optimized NbCoAsPt structure. The functional is PBE. Values from VASP.

The structure in Quantum ESPRESSO input format:
```
&SYSTEM
  ibrav = 0, nat = 4, ntyp = 4
/
ATOMIC_SPECIES
Nb 92.91 Nb.upf
Co 58.93 Co.upf
As 74.92 As.upf
Pt 195.08 Pt.upf
ATOMIC_POSITIONS crystal
Nb 0.000 0.000 0.000
Co 0.750 0.750 0.750
As 0.500 0.500 0.500
Pt 0.250 0.250 0.250
CELL_PARAMETERS angstrom
0.000 3.144 3.144
3.144 0.000 3.144
3.144 3.144 0.000
```

Calculated values
- E_tot (eV/cell) = -27.64
- SG = F-43m, No. 216
- magnetic moment (μB per formula unit) = 0.237

---

(4)
This record from OQMD describes a geometry-optimized NbCoAsPt structure. The functional is PBE. Values from VASP.

The structure in Quantum ESPRESSO input format:
```
&SYSTEM
  ibrav = 0, nat = 4, ntyp = 4
/
ATOMIC_SPECIES
Nb 92.91 Nb.upf
Co 58.93 Co.upf
As 74.92 As.upf
Pt 195.08 Pt.upf
ATOMIC_POSITIONS crystal
Nb 0.000 0.000 0.000
Co 0.500 0.500 0.500
As 0.250 0.250 0.250
Pt 0.750 0.750 0.750
CELL_PARAMETERS angstrom
0.000 3.117 3.117
3.117 0.000 3.117
3.117 3.117 0.000
```

Calculated values
- E_tot (eV/cell) = -28.60
- SG = F-43m, No. 216
- magnetic moment (μB per formula unit) = 0.662

---

(5)
This record from OQMD describes a geometry-optimized NbCoTcAs structure. The functional is PBE. Values from VASP.

The structure in Quantum ESPRESSO input format:
```
&SYSTEM
  ibrav = 0, nat = 4, ntyp = 4
/
ATOMIC_SPECIES
Nb 92.91 Nb.upf
Co 58.93 Co.upf
Tc 98.00 Tc.upf
As 74.92 As.upf
ATOMIC_POSITIONS crystal
Nb 0.000 0.000 0.000
Co 0.750 0.750 0.750
Tc 0.250 0.250 0.250
As 0.500 0.500 0.500
CELL_PARAMETERS angstrom
0.000 3.076 3.076
3.076 0.000 3.076
3.076 3.076 0.000
```

Calculated values
- E_tot (eV/cell) = -32.32
- SG = F-43m, No. 216
- magnetic moment (μB per formula unit) = 1.935

---

(6)
This record from OQMD describes a geometry-optimized YNbCoAs structure. The functional is PBE. Values from VASP.

The structure in Quantum ESPRESSO input format:
```
&SYSTEM
  ibrav = 0, nat = 4, ntyp = 4
/
ATOMIC_SPECIES
Y 88.91 Y.upf
Nb 92.91 Nb.upf
Co 58.93 Co.upf
As 74.92 As.upf
ATOMIC_POSITIONS crystal
Y 0.000 0.000 0.000
Nb 0.750 0.750 0.750
Co 0.500 0.500 0.500
As 0.250 0.250 0.250
CELL_PARAMETERS angstrom
0.000 3.283 3.283
3.283 0.000 3.283
3.283 3.283 0.000
```

Calculated values
- E_tot (eV/cell) = -26.85
- SG = F-43m, No. 216
- magnetic moment (μB per formula unit) = 2.509

---

(7)
This record from OQMD describes a geometry-optimized YNbCoAs structure. The functional is PBE. Values from VASP.

The structure in Quantum ESPRESSO input format:
```
&SYSTEM
  ibrav = 0, nat = 4, ntyp = 4
/
ATOMIC_SPECIES
Y 88.91 Y.upf
Nb 92.91 Nb.upf
Co 58.93 Co.upf
As 74.92 As.upf
ATOMIC_POSITIONS crystal
Y 0.000 0.000 0.000
Nb 0.250 0.250 0.250
Co 0.750 0.750 0.750
As 0.500 0.500 0.500
CELL_PARAMETERS angstrom
0.000 3.233 3.233
3.233 0.000 3.233
3.233 3.233 0.000
```

Calculated values
- E_tot (eV/cell) = -27.39
- SG = F-43m, No. 216
- magnetic moment (μB per formula unit) = 1.958

---

(8)
This record from OQMD describes a geometry-optimized ZrNbCoAs structure. The functional is PBE. Values from VASP.

The structure in Quantum ESPRESSO input format:
```
&SYSTEM
  ibrav = 0, nat = 4, ntyp = 4
/
ATOMIC_SPECIES
Zr 91.22 Zr.upf
Nb 92.91 Nb.upf
Co 58.93 Co.upf
As 74.92 As.upf
ATOMIC_POSITIONS crystal
Zr 0.000 0.000 0.000
Nb 0.250 0.250 0.250
Co 0.750 0.750 0.750
As 0.500 0.500 0.500
CELL_PARAMETERS angstrom
0.000 3.182 3.182
3.182 0.000 3.182
3.182 3.182 0.000
```

Calculated values
- E_tot (eV/cell) = -30.03
- SG = F-43m, No. 216
- magnetic moment (μB per formula unit) = 0.999